# 1
Compound: Na3Cr2P3O12
Source: the Alexandria database
Functional: meta-GGA SCAN
Structure: single point on PBEsol structure

Calculated values
Energy relative to the elements, uncorrected   -2.54 eV per atom

abc: 8.657 8.657 8.689
angles: 90.59 119.39 119.81
Each line ends with the local moment (μB).
Positions (direct):
Cr 0.292 0.641 0.438  2.80
Cr 0.708 0.359 0.562  2.80
Cr 0.703 0.854 0.062  2.80
Cr 0.297 0.146 0.938  2.80
O 0.791 0.218 0.728  0.01
O 0.765 0.279 0.402  0.03
O 0.990 0.064 0.772  0.01
O 0.010 0.936 0.228  0.01
O 0.654 0.535 0.449  0.01
O 0.235 0.721 0.598  0.03
O 0.987 0.423 0.258  0.01
O 0.212 0.979 0.075  0.01
O 0.596 0.863 0.575  0.01
O 0.665 0.728 0.242  0.01
O 0.660 0.435 0.746  0.00
O 0.335 0.272 0.758  0.01
O 0.811 0.085 0.246  0.00
O 0.414 0.795 0.949  0.01
O 0.788 0.021 0.925  0.01
O 0.377 0.363 0.098  0.03
O 0.013 0.577 0.742  0.01
O 0.623 0.637 0.902  0.03
O 0.340 0.565 0.254  0.00
O 0.189 0.915 0.754  0.00
O 0.346 0.465 0.551  0.01
O 0.404 0.137 0.425  0.01
O 0.209 0.782 0.272  0.01
O 0.586 0.205 0.051  0.01
Na 0.866 0.751 0.758  0.00
Na 0.507 0.892 0.258  0.00
Na 0.493 0.108 0.742  0.00
Na 0.134 0.249 0.242  0.00
Na 0.000 0.000 0.500  0.00
Na 0.000 0.500 0.000  0.00
P 0.787 0.254 0.241  0.01
P 0.213 0.746 0.759  0.01
P 0.792 0.042 0.750  0.01
P 0.208 0.958 0.250  0.01
P 0.488 0.454 0.741  0.01
P 0.512 0.546 0.259  0.01

# 2
Compound: NaCrP2O7
Source: the Alexandria database
Functional: meta-GGA SCAN
Structure: single point on PBEsol structure

Calculated values
Energy relative to the elements, uncorrected   -2.55 eV per atom

abc: 7.302 7.803 9.473
angles: 90.00 111.64 90.00
Each line ends with the local moment (μB).
Positions (direct):
O 0.310 0.799 0.379  0.00
O 0.010 0.082 0.860  0.01
O 0.877 0.149 0.440  0.00
O 0.190 0.286 0.623  0.01
O 0.990 0.582 0.640  0.01
O 0.810 0.786 0.877  0.01
O 0.190 0.214 0.123  0.01
O 0.877 0.351 0.940  0.00
O 0.811 0.634 0.106  0.01
O 0.189 0.134 0.394  0.01
O 0.811 0.866 0.606  0.01
O 0.641 0.398 0.402  0.00
O 0.530 0.085 0.347  0.01
O 0.359 0.602 0.598  0.00
O 0.123 0.649 0.060  0.00
O 0.470 0.585 0.153  0.01
O 0.310 0.701 0.879  0.00
O 0.010 0.418 0.360  0.01
O 0.641 0.102 0.902  0.00
O 0.123 0.851 0.560  0.00
O 0.359 0.898 0.098  0.00
O 0.690 0.299 0.121  0.00
O 0.470 0.915 0.653  0.01
O 0.189 0.366 0.894  0.01
O 0.690 0.201 0.621  0.00
O 0.530 0.415 0.847  0.01
O 0.810 0.714 0.377  0.01
O 0.990 0.918 0.140  0.01
Cr 0.741 0.507 0.253  2.81
Cr 0.259 0.493 0.747  2.81
Cr 0.741 0.993 0.753  2.81
Cr 0.259 0.007 0.247  2.81
Na 0.708 0.524 0.704  0.00
Na 0.292 0.476 0.296  0.00
Na 0.708 0.976 0.204  0.00
Na 0.292 0.024 0.796  0.00
P 0.074 0.246 0.955  0.01
P 0.672 0.210 0.455  0.01
P 0.926 0.746 0.545  0.01
P 0.672 0.290 0.955  0.01
P 0.328 0.710 0.045  0.01
P 0.074 0.254 0.455  0.01
P 0.926 0.754 0.045  0.01
P 0.328 0.790 0.545  0.01

# 3
Compound: Na4UCr3O14
Source: the Alexandria database
Functional: meta-GGA SCAN
Structure: single point on PBEsol structure

Calculated values
Energy relative to the elements, uncorrected   -2.27 eV per atom

abc: 7.161 8.516 11.524
angles: 80.69 78.55 68.80
Positions (direct):
O 0.494 0.894 0.212
O 0.773 0.497 0.573
O 0.514 0.429 0.819
O 0.244 0.271 0.960
O 0.143 0.686 0.045
O 0.940 0.924 0.890
O 0.506 0.106 0.788
O 0.227 0.503 0.427
O 0.125 0.334 0.710
O 0.935 0.168 0.551
O 0.245 0.171 0.325
O 0.529 0.314 0.587
O 0.049 0.597 0.855
O 0.632 0.037 0.359
O 0.951 0.403 0.145
O 0.857 0.314 0.955
O 0.875 0.666 0.290
O 0.754 0.373 0.375
O 0.471 0.686 0.413
O 0.065 0.832 0.449
O 0.467 0.798 0.849
O 0.755 0.829 0.675
O 0.368 0.963 0.641
O 0.756 0.729 0.040
O 0.060 0.076 0.110
O 0.486 0.571 0.181
O 0.246 0.627 0.625
O 0.533 0.202 0.151
Cr 0.522 0.924 0.738
Cr 0.026 0.264 0.042
Cr 0.749 0.340 0.522
Cr 0.251 0.660 0.478
Cr 0.974 0.736 0.958
Cr 0.478 0.076 0.262
Na 0.650 0.161 0.952
Na 0.778 0.539 0.784
Na 0.042 0.913 0.677
Na 0.958 0.087 0.323
Na 0.735 0.781 0.483
Na 0.350 0.839 0.048
Na 0.265 0.219 0.517
Na 0.222 0.461 0.216
U 0.684 0.613 0.236
U 0.316 0.387 0.764